(1)
Pm4PCl5 after structural relaxation. Source: Alexandria via LeMat-Bulk, functional GGA-PBE.

Cell: 9.1563 9.1563 8.2002 Å, 103.80 103.80 25.42°
Fractional coordinates of all 10 atoms:
Pm: 0.9999 0.9999 0.2276
Pm: 0.0001 0.0001 0.7724
Pm: 0.3458 0.3458 0.9104
Pm: 0.6542 0.6542 0.0896
P: 0.5000 0.5000 0.0000
Cl: 0.1658 0.1658 0.3349
Cl: 0.1714 0.1714 0.8490
Cl: 0.5000 0.5000 0.5000
Cl: 0.8286 0.8286 0.1510
Cl: 0.8342 0.8342 0.6651

Output
The formation energy without anion corrections is -1.91 eV per atom.


(2)
LiPmFe after structural relaxation. Source: Alexandria via LeMat-Bulk, functional GGA-PBE.

Cell: 13.1964 3.8595 5.1187 Å, 90.00 100.41 90.00°
Fractional coordinates of all 12 atoms:
Li: 0.0864 0.0000 0.3173
Li: 0.4136 0.5000 0.6827
Li: 0.5864 0.5000 0.3173
Li: 0.9136 0.0000 0.6827
Pm: 0.1346 0.5000 0.8459
Pm: 0.3654 0.0000 0.1541
Pm: 0.6346 0.0000 0.8459
Pm: 0.8654 0.5000 0.1541
Fe: 0.2375 0.5000 0.4089
Fe: 0.2625 0.0000 0.5911
Fe: 0.7375 0.0000 0.4089
Fe: 0.7625 0.5000 0.5911

Output
The value obtained for the energy of formation from the pure elements is 0.19 eV/atom.


(3)
BaLiGaPt after structural relaxation. Source: Alexandria via LeMat-Bulk, functional GGA-PBE.

Cell: 7.7966 4.4822 6.2281 Å, 90.00 114.83 90.00°
Fractional coordinates of all 8 atoms:
Ba: 0.0000 0.0000 0.0000
Ba: 0.5000 0.5000 0.0000
Li: 0.1812 0.0000 0.5479
Li: 0.6812 0.5000 0.5479
Ga: 0.4776 0.0000 0.4359
Ga: 0.9776 0.5000 0.4359
Pt: 0.3019 0.5000 0.4118
Pt: 0.8019 0.0000 0.4118

Output
The value obtained for the energy of formation from the pure elements is -0.64 eV/atom.


(4)
GaBi2Cl2 after structural relaxation. Source: Alexandria via LeMat-Bulk, functional GGA-PBE.

Cell: 7.8002 7.8002 5.4657 Å, 90.00 90.00 90.00°
Fractional coordinates of all 10 atoms:
Ga: 0.0000 0.0000 0.0000
Ga: 0.5000 0.5000 0.0000
Bi: 0.1450 0.3550 0.0000
Bi: 0.3550 0.8550 0.0000
Bi: 0.6450 0.1450 0.0000
Bi: 0.8550 0.6450 0.0000
Cl: 0.1886 0.3114 0.5000
Cl: 0.3114 0.8114 0.5000
Cl: 0.6886 0.1886 0.5000
Cl: 0.8114 0.6886 0.5000

Output
The formation energy without anion corrections is -0.31 eV per atom. The calculation puts the distance to the lowest polymorph of the same formula at 0.000 eV per atom.


In order of appearance, M_tot = 0.00; 0.00; 0.00; 0.00 μB/cell.